4
Lattice="0.000 3.440 3.440 3.440 0.000 3.440 3.440 3.440 0.000" Properties=species:S:1:pos:R:3 comment="TbLuMnRu | the Alexandria database | PBE | relaxed" m_tot_mub_per_fu=3.59 space_group="F-43m (216)" e_tot_ev_per_atom=-7.012 pbc="T T T"
Tb 0.000 0.000 0.000
Lu 3.440 3.440 3.440
Mn 1.720 1.720 1.720
Ru 5.160 5.160 5.160



4
Lattice="-2.183 2.183 4.727 2.183 -2.183 4.727 2.183 2.183 -4.727" Properties=species:S:1:pos:R:3 comment="YZr2Zn | the Alexandria database | PBE | relaxed" m_tot_mub_per_fu=0.00 space_group="I4/mmm (139)" e_tot_ev_per_atom=-6.211 pbc="T T T"
Y 0.000 0.000 0.000
Zr 2.183 0.000 2.364
Zr 0.000 2.183 2.364
Zn 0.000 0.000 4.727



5
Lattice="4.742 0.000 0.000 0.000 4.742 0.000 0.000 0.000 6.888" Properties=species:S:1:pos:R:3 comment="BaTiCu2Cl | the Alexandria database | PBE | relaxed" m_tot_mub_per_fu=2.73 space_group="P4/mmm (123)" e_tot_ev_per_atom=-3.696 raw_formation_energy_mev_per_atom=275 pbc="T T T"
Ba 0.000 0.000 0.000
Ti 0.000 0.000 3.444
Cu 0.000 2.371 3.444
Cu 2.371 0.000 3.444
Cl 2.371 2.371 0.000



19
Lattice="5.446 3.144 3.303 -5.446 3.144 3.303 0.000 -6.289 3.303" Properties=species:S:1:pos:R:3 comment="HfGa6Pd12 | the Alexandria database | PBE | relaxed" m_tot_mub_per_fu=0.00 space_group="R-3 (148)" e_tot_ev_per_atom=-5.191 pbc="T T T"
Hf 0.000 0.000 0.000
Ga -1.954 0.410 3.147
Ga 0.622 -1.898 3.147
Ga -1.333 -1.487 6.761
Ga 1.333 1.487 3.147
Ga -0.622 1.898 6.761
Ga 1.954 -0.410 6.761
Pd -4.602 0.762 4.007
Pd -2.961 -3.604 5.901
Pd -1.679 -1.796 4.229
Pd 1.641 -4.366 4.007
Pd -2.395 0.556 5.679
Pd -0.716 2.353 4.229
Pd 0.716 -2.353 5.679
Pd 2.395 -0.556 4.229
Pd -1.641 4.366 5.901
Pd 1.679 1.796 5.679
Pd 2.961 3.604 4.007
Pd 4.602 -0.762 5.901



5
Lattice="4.706 0.000 0.000 0.000 4.706 0.000 0.000 0.000 4.706" Properties=species:S:1:pos:R:3 comment="Nb3ReRu | the Alexandria database | PBE | relaxed" m_tot_mub_per_fu=0.00 space_group="Pm-3m (221)" e_tot_ev_per_atom=-8.952 polymorph_energy_mev_per_atom=0 pbc="T T T"
Nb 0.000 0.000 2.353
Nb 0.000 2.353 0.000
Nb 2.353 0.000 0.000
Re 2.353 2.353 2.353
Ru 0.000 0.000 0.000



24
Lattice="3.708 -7.309 0.000 3.708 7.309 0.000 -0.713 0.000 16.257" Properties=species:S:1:pos:R:3 comment="K2SnSe3 | the Alexandria database | PBE | relaxed" m_tot_mub_per_fu=0.00 space_group="C2/c (15)" e_tot_ev_per_atom=-3.638 raw_formation_energy_mev_per_atom=-862 pbc="T T T"
K 1.477 3.072 5.622
K 1.180 1.486 15.163
K 1.537 -1.486 7.035
K 1.120 -3.072 13.750
K 5.583 3.072 2.507
K 5.167 1.486 9.222
K 5.523 -1.486 1.094
K 5.227 -3.072 10.635
Sn 1.878 0.091 2.554
Sn 1.521 -0.091 10.682
Sn 5.182 0.091 5.575
Sn 4.826 -0.091 13.703
Se 3.174 6.571 12.193
Se 1.205 1.495 8.781
Se 2.373 2.499 2.092
Se 1.561 -1.495 0.653
Se 3.174 1.304 12.193
Se 4.687 2.499 6.037
Se 2.017 -2.499 10.220
Se 3.530 -1.304 4.064
Se 5.142 1.495 15.604
Se 4.330 -2.499 14.165
Se 5.498 -1.495 7.475
Se 3.530 -6.571 4.064



5
Lattice="5.076 0.000 0.000 0.000 5.076 0.000 0.000 0.000 5.616" Properties=species:S:1:pos:R:3 comment="SrRhAu2N | the Alexandria database | PBE | relaxed" m_tot_mub_per_fu=1.87 space_group="P4/mmm (123)" e_tot_ev_per_atom=-3.645 raw_formation_energy_mev_per_atom=1137 pbc="T T T"
Sr 0.000 0.000 0.000
Rh 0.000 0.000 2.808
Au 0.000 2.538 2.808
Au 2.538 0.000 2.808
N 2.538 2.538 0.000



5
Lattice="5.057 0.000 0.000 0.000 5.057 0.000 0.000 0.000 4.580" Properties=species:S:1:pos:R:3 comment="AlAgGeMo2 | the Alexandria database | PBE | relaxed" m_tot_mub_per_fu=5.22 space_group="P4/mmm (123)" e_tot_ev_per_atom=-4.703 pbc="T T T"
Al 0.000 0.000 0.000
Ag 2.529 2.529 2.290
Ge 2.529 2.529 0.000
Mo 0.000 2.529 2.290
Mo 2.529 0.000 2.290



4
Lattice="4.898 0.000 0.000 0.000 4.898 0.000 0.000 0.000 4.898" Properties=species:S:1:pos:R:3 comment="TeRh3 | the Alexandria database | PBE | relaxed" m_tot_mub_per_fu=0.91 space_group="Pm-3m (221)" e_tot_ev_per_atom=-4.949 raw_formation_energy_mev_per_atom=1350 pbc="T T T"
Te 0.000 0.000 0.000
Rh 0.000 0.000 2.449
Rh 0.000 2.449 0.000
Rh 2.449 0.000 0.000



4
Lattice="2.753 -4.264 0.000 2.753 4.264 0.000 -0.988 0.000 2.757" Properties=species:S:1:pos:R:3 comment="Mo2WSe | the Alexandria database | PBE | relaxed" m_tot_mub_per_fu=0.00 space_group="C2/m (12)" e_tot_ev_per_atom=-9.053 raw_formation_energy_mev_per_atom=472 pbc="T T T"
Mo 1.376 2.132 0.000
Mo 1.376 -2.132 0.000
W -0.494 0.000 1.379
Se 2.259 0.000 1.379



11
Lattice="4.339 -6.677 0.000 4.339 6.677 0.000 -1.468 0.000 5.225" Properties=species:S:1:pos:R:3 comment="Tm8Pd2Pb | the Alexandria database | PBE | relaxed" m_tot_mub_per_fu=1.16 space_group="Cm (8)" e_tot_ev_per_atom=-4.892 pbc="T T T"
Tm 0.000 0.000 0.000
Tm 0.741 1.673 3.198
Tm 3.148 3.268 1.027
Tm 0.741 -1.673 3.198
Tm 4.090 1.674 4.079
Tm 3.148 -3.268 1.027
Tm 4.090 -1.674 4.079
Tm 6.298 0.000 2.052
Pd 2.417 4.060 3.640
Pd 2.417 -4.060 3.640
Pb 3.150 0.000 1.022



5
Lattice="5.079 0.000 0.000 0.000 5.079 0.000 0.000 0.000 5.581" Properties=species:S:1:pos:R:3 comment="RbTaTeW2 | the Alexandria database | PBE | relaxed" m_tot_mub_per_fu=4.33 space_group="P4/mmm (123)" e_tot_ev_per_atom=-6.638 raw_formation_energy_mev_per_atom=1736 pbc="T T T"
Rb 0.000 0.000 0.000
Ta 2.539 2.539 2.790
Te 2.539 2.539 0.000
W 0.000 2.539 2.790
W 2.539 0.000 2.790